Computed, not measured: NaMnSbO4 after structural relaxation at the GGA+U level of DFT.

a b c (Å): 6.5277 6.5277 6.5277
angles (deg): 122.14 120.43 87.80
Last column: nearest neighbours and their distance in Å.
Fractional coordinates of all 14 atoms:
Na: 0.3596 0.1096 0.2500  4 O 2.23-2.31
Na: 0.6404 0.8904 0.7500  4 O 2.23-2.31
Mn: 0.0000 0.5000 0.5000  6 O 2.20-2.34
Mn: 0.5000 0.5000 0.0000  6 O 2.20-2.34
Sb: 0.0000 0.0000 0.5000  6 O 1.97-2.09
Sb: 0.0000 0.5000 0.0000  6 O 1.97-2.09
O: 0.2078 0.7477 0.4601  2 Sb 2.09, 1 Na 2.31
O: 0.2089 0.2315 0.5226  1 Sb 1.97, 2 Mn 2.20
O: 0.2089 0.6864 0.9774  1 Sb 1.97, 2 Mn 2.20
O: 0.2124 0.2523 0.9601  2 Sb 2.09, 1 Na 2.31
O: 0.7876 0.7477 0.0399  2 Sb 2.09, 1 Na 2.31
O: 0.7911 0.3136 0.0226  1 Sb 1.97, 2 Mn 2.20
O: 0.7911 0.7685 0.4774  1 Sb 1.97, 2 Mn 2.20
O: 0.7922 0.2523 0.5399  2 Sb 2.09, 1 Na 2.31

Properties
electronic total energy: -6.30 eV/atom